No. 1
# Pr3Dy2Er6Th

A relaxed structure of Pr3Dy2Er6Th (GGA-PBE, the Alexandria database).

```
Pr3Dy2Er6Th
1.0
3.0986 -5.3660 0.0000
3.0986 5.3660 0.0000
-2.0695 0.0000 11.5877
Pr Dy Er Th
3 2 6 1
Cartesian
0.0000 0.0000 0.0000
3.0986 1.7944 0.0000
3.0986 -1.7944 0.0000
2.0638 3.5761 5.7938
2.0638 -3.5761 5.7938
1.0411 1.7699 2.9485
0.0213 0.0000 8.6394
1.0411 -1.7699 2.9485
3.0865 1.7699 8.6392
4.1064 0.0000 2.9482
3.0865 -1.7699 8.6392
2.0638 0.0000 5.7938
```

Formation enthalpy at 0 K (eV per atom): 0.022
Crystal system: monoclinic
E (eV per atom): -4.840

No. 2
# Rb6BiAu2

A relaxed structure of Rb6BiAu2 (GGA-PBE, the Alexandria database).

```
Rb6BiAu2
1.0
9.7961 -5.6336 0.0000
9.7961 5.6336 0.0000
-1.9743 0.0000 7.8248
Rb Bi Au
12 2 4
Cartesian
1.5953 0.6947 1.1363
5.4540 2.8153 2.1204
0.6082 -0.6947 5.0487
6.2328 0.7042 6.6640
13.1511 2.8153 1.7920
7.2200 -0.7042 2.7516
10.3979 0.7042 5.0732
4.4668 -2.8153 6.0328
11.3851 -0.7042 1.1608
17.0097 0.6947 2.7761
12.1639 -2.8153 5.7044
16.0226 -0.6947 6.6885
9.3025 2.8124 1.9562
8.3154 -2.8124 5.8686
3.9124 0.1018 3.9039
2.9253 -0.1018 7.8163
14.6926 0.1018 0.0085
13.7055 -0.1018 3.9209
```

Formation enthalpy at 0 K (eV per atom): -0.264
Crystal system: monoclinic
E (eV per atom): -2.069

No. 3
# Li3Pm

A relaxed structure of Li3Pm (GGA-PBE, the Alexandria database).

```
Li3Pm
1.0
3.4563 0.0000 0.0000
0.0000 3.4563 0.0000
0.0000 0.0000 16.1404
Li Pm
6 2
Cartesian
0.8641 0.8641 0.8550
0.8641 0.8641 4.3121
0.8641 0.8641 13.5153
2.5922 2.5922 2.6251
2.5922 2.5922 11.8283
2.5922 2.5922 15.2854
0.8641 0.8641 9.3837
2.5922 2.5922 6.7567
```

Formation enthalpy at 0 K (eV per atom): 0.038
Crystal system: tetragonal
Excess energy over the best structure of this formula in the dataset (eV/f.u.): 0.00
E (eV per atom): -2.585